MgS2N2: relaxed, GGA-PBEsol.

```
data_MgS2N2
_chemical_formula_sum 'Mg1 S2 N2'
_symmetry_space_group_name_H-M 'P 4/m m m'
_symmetry_Int_Tables_number 123
_symmetry_space_group_name_Hall '-P 4 2'
_cell_length_a 4.845
_cell_length_b 4.845
_cell_length_c 3.986
_cell_angle_alpha 90.00
_cell_angle_beta 90.00
_cell_angle_gamma 90.00
loop_
_atom_site_label
_atom_site_fract_x
_atom_site_fract_y
_atom_site_fract_z
Mg1 0.000 0.000 0.000
S1 0.000 0.500 0.000
N1 0.000 0.000 0.500
N2 0.500 0.500 0.500
```

## Properties
The calculation puts the volume at 93.6 Å³/cell. The value obtained for the mass density is 2.07 g/cm3. For the magnetization, the calculation gives 0.449 μB/atom. For the total energy, the calculation gives -17.7 eV per cell. The distance to the lowest polymorph of the same formula comes out at 1.2662 eV per atom. The uncorrected formation energy is 947 kJ/mol of formula units.



NiPtBr4: relaxed, GGA-PBEsol.

```
data_NiPtBr4
_chemical_formula_sum 'Ni4 Pt4 Br16'
_symmetry_space_group_name_H-M 'F -4 3 m'
_symmetry_Int_Tables_number 216
_symmetry_space_group_name_Hall 'F -4 2 3'
_cell_length_a 8.180
_cell_length_b 8.180
_cell_length_c 8.180
_cell_angle_alpha 90.00
_cell_angle_beta 90.00
_cell_angle_gamma 90.00
loop_
_atom_site_label
_atom_site_fract_x
_atom_site_fract_y
_atom_site_fract_z
Ni1 0.000 0.000 0.000
Pt1 0.250 0.250 0.250
Br1 0.125 0.125 0.625
```

## Properties
The calculation puts the volume at 547.2 Å³/cell. The value obtained for the mass density is 6.96 g/cm3. For the magnetization, the calculation gives 0.163 μB/atom. For the total energy, the calculation gives -46.6 eV per cell. The uncorrected formation energy is 864 kJ/mol of formula units.



SrYAg2: relaxed, GGA-PBEsol.

```
data_SrYAg2
_chemical_formula_sum 'Sr1 Y1 Ag2'
_symmetry_space_group_name_H-M 'P 4/m m m'
_symmetry_Int_Tables_number 123
_symmetry_space_group_name_Hall '-P 4 2'
_cell_length_a 5.273
_cell_length_b 5.273
_cell_length_c 3.586
_cell_angle_alpha 90.00
_cell_angle_beta 90.00
_cell_angle_gamma 90.00
loop_
_atom_site_label
_atom_site_fract_x
_atom_site_fract_y
_atom_site_fract_z
Sr1 0.000 0.000 0.000
Y1 0.500 0.500 0.000
Ag1 0.000 0.500 0.500
```

## Properties
The calculation puts the volume at 99.7 Å³/cell. The value obtained for the mass density is 6.53 g/cm3. For the magnetization, the calculation gives 0.000 μB/atom. As for the formation energy: -233 meV/atom. For the total energy, the calculation gives -16.2 eV per cell. The distance to the lowest polymorph of the same formula comes out at 0.0000 eV per atom.



SnHg2S2Br2: relaxed, GGA-PBEsol.

```
data_SnHg2S2Br2
_chemical_formula_sum 'Sn4 Hg8 S8 Br8'
_symmetry_space_group_name_H-M 'P 1 21/c 1'
_symmetry_Int_Tables_number 14
_cell_length_a 9.651
_cell_length_b 10.999
_cell_length_c 10.052
_cell_angle_alpha 90.00
_cell_angle_beta 106.25
_cell_angle_gamma 90.00
loop_
_symmetry_equiv_pos_as_xyz
'x,y,z'
'-x,-y,-z'
'-x,y+1/2,-z+1/2'
'x,-y+1/2,z+1/2'
loop_
_atom_site_label
_atom_site_fract_x
_atom_site_fract_y
_atom_site_fract_z
Sn1 0.146 0.134 0.049
Hg1 0.302 0.078 0.693
Hg2 0.483 0.149 0.400
S1 0.264 0.242 0.830
S2 0.293 0.556 0.010
Br1 0.022 0.505 0.309
Br2 0.368 0.519 0.624
```

## Properties
The calculation puts the volume at 1024.4 Å³/cell. The value obtained for the mass density is 4.82 g/cm3. For the magnetization, the calculation gives 0.000 μB/atom. For the total energy, the calculation gives -80.7 eV per cell. The uncorrected formation energy is -219 kJ/mol of formula units.



KBi2F: relaxed, GGA-PBEsol.

```
data_KBi2F
_chemical_formula_sum 'K4 Bi8 F4'
_symmetry_space_group_name_H-M 'I 41/a m d'
_symmetry_Int_Tables_number 141
_cell_length_a 6.049
_cell_length_b 6.049
_cell_length_c 16.149
_cell_angle_alpha 90.00
_cell_angle_beta 90.00
_cell_angle_gamma 90.00
loop_
_symmetry_equiv_pos_as_xyz
'x,y,z'
'-x,-y,-z'
'-y+1/4,x+3/4,z+1/4'
'y+1/4,-x+3/4,-z+1/4'
'-x+1/2,-y,z+1/2'
'x+1/2,y,-z+1/2'
'y+1/4,-x+1/4,z+3/4'
'-y+1/4,x+1/4,-z+3/4'
'x,-y,-z'
'-x,y,z'
'-y+1/4,-x+1/4,-z+3/4'
'y+1/4,x+1/4,z+3/4'
'-x+1/2,y,-z+1/2'
'x+1/2,-y,z+1/2'
'y+1/4,x+3/4,-z+1/4'
'-y+1/4,-x+3/4,z+1/4'
'x+1/2,y+1/2,z+1/2'
'-x+1/2,-y+1/2,-z+1/2'
'-y+3/4,x+1/4,z+3/4'
'y+3/4,-x+1/4,-z+3/4'
'-x,-y+1/2,z'
'x,y+1/2,-z'
'y+3/4,-x+3/4,z+1/4'
'-y+3/4,x+3/4,-z+1/4'
'x+1/2,-y+1/2,-z+1/2'
'-x+1/2,y+1/2,z+1/2'
'-y+3/4,-x+3/4,-z+1/4'
'y+3/4,x+3/4,z+1/4'
'-x,y+1/2,-z'
'x,-y+1/2,z'
'y+3/4,x+1/4,-z+3/4'
'-y+3/4,-x+1/4,z+3/4'
loop_
_atom_site_label
_atom_site_fract_x
_atom_site_fract_y
_atom_site_fract_z
K1 0.000 0.250 0.375
Bi1 0.000 0.000 0.000
F1 0.000 0.250 0.875
```

## Properties
The calculation puts the volume at 590.9 Å³/cell. The value obtained for the mass density is 5.35 g/cm3. For the magnetization, the calculation gives 0.000 μB/atom. For the total energy, the calculation gives -55.8 eV per cell. The uncorrected formation energy is -224 kJ/mol of formula units.



InMoRu2: relaxed, GGA-PBEsol.

```
data_InMoRu2
_chemical_formula_sum 'In1 Mo1 Ru2'
_symmetry_space_group_name_H-M 'P 4/m m m'
_symmetry_Int_Tables_number 123
_symmetry_space_group_name_Hall '-P 4 2'
_cell_length_a 2.940
_cell_length_b 2.940
_cell_length_c 7.084
_cell_angle_alpha 90.00
_cell_angle_beta 90.00
_cell_angle_gamma 90.00
loop_
_atom_site_label
_atom_site_fract_x
_atom_site_fract_y
_atom_site_fract_z
In1 0.000 0.000 0.000
Mo1 0.000 0.000 0.500
Ru1 0.500 0.500 0.269
```

## Properties
The calculation puts the volume at 61.2 Å³/cell. The value obtained for the mass density is 11.20 g/cm3. For the magnetization, the calculation gives 0.000 μB/atom. As for the formation energy: 56 meV/atom. For the total energy, the calculation gives -34.9 eV per cell.



LaZn4Cl: relaxed, GGA-PBEsol.

```
data_LaZn4Cl
_chemical_formula_sum 'La4 Zn16 Cl4'
_symmetry_space_group_name_H-M 'F -4 3 m'
_symmetry_Int_Tables_number 216
_symmetry_space_group_name_Hall 'F -4 2 3'
_cell_length_a 7.774
_cell_length_b 7.774
_cell_length_c 7.774
_cell_angle_alpha 90.00
_cell_angle_beta 90.00
_cell_angle_gamma 90.00
loop_
_atom_site_label
_atom_site_fract_x
_atom_site_fract_y
_atom_site_fract_z
La1 0.000 0.000 0.000
Zn1 0.125 0.125 0.625
Cl1 0.250 0.250 0.250
```

## Properties
The calculation puts the volume at 469.9 Å³/cell. The value obtained for the mass density is 6.16 g/cm3. For the magnetization, the calculation gives 0.000 μB/atom. For the total energy, the calculation gives -59.3 eV per cell. The uncorrected formation energy is -110 kJ/mol of formula units.



CuTeSe2: relaxed, GGA-PBEsol.

```
data_CuTeSe2
_chemical_formula_sum 'Cu2 Te2 Se4'
_symmetry_space_group_name_H-M 'C 1 m 1'
_symmetry_Int_Tables_number 8
_cell_length_a 12.066
_cell_length_b 3.521
_cell_length_c 4.467
_cell_angle_alpha 90.00
_cell_angle_beta 110.98
_cell_angle_gamma 90.00
loop_
_symmetry_equiv_pos_as_xyz
'x,y,z'
'x,-y,z'
'x+1/2,y+1/2,z'
'x+1/2,-y+1/2,z'
loop_
_atom_site_label
_atom_site_fract_x
_atom_site_fract_y
_atom_site_fract_z
Cu1 0.000 0.000 0.000
Te1 0.268 0.500 0.074
Se1 0.103 0.500 0.349
Se2 0.415 0.000 0.636
```

## Properties
The calculation puts the volume at 177.2 Å³/cell. The value obtained for the mass density is 6.54 g/cm3. For the magnetization, the calculation gives 0.000 μB/atom. For the total energy, the calculation gives -31.0 eV per cell. The uncorrected formation energy is 6 kJ/mol of formula units.



ReSb2IO: relaxed, GGA-PBEsol.

```
data_ReSb2IO
_chemical_formula_sum 'Re1 Sb2 I1 O1'
_symmetry_space_group_name_H-M 'P 4/m m m'
_symmetry_Int_Tables_number 123
_symmetry_space_group_name_Hall '-P 4 2'
_cell_length_a 5.018
_cell_length_b 5.018
_cell_length_c 5.572
_cell_angle_alpha 90.00
_cell_angle_beta 90.00
_cell_angle_gamma 90.00
loop_
_atom_site_label
_atom_site_fract_x
_atom_site_fract_y
_atom_site_fract_z
Re1 0.000 0.000 0.000
Sb1 0.000 0.500 0.000
I1 0.000 0.000 0.500
O1 0.500 0.500 0.500
```

## Properties
The calculation puts the volume at 140.3 Å³/cell. The value obtained for the mass density is 6.78 g/cm3. For the magnetization, the calculation gives 0.266 μB/atom. For the total energy, the calculation gives -24.2 eV per cell. The uncorrected formation energy is 508 kJ/mol of formula units.



Li2Ga2Pb: relaxed, GGA-PBEsol.

```
data_Li2Ga2Pb
_chemical_formula_sum 'Li4 Ga4 Pb2'
_symmetry_space_group_name_H-M 'P 4/m b m'
_symmetry_Int_Tables_number 127
_symmetry_space_group_name_Hall '-P 4 2ab'
_cell_length_a 7.724
_cell_length_b 7.724
_cell_length_c 3.122
_cell_angle_alpha 90.00
_cell_angle_beta 90.00
_cell_angle_gamma 90.00
loop_
_atom_site_label
_atom_site_fract_x
_atom_site_fract_y
_atom_site_fract_z
Li1 0.180 0.320 0.000
Ga1 0.116 0.616 0.500
Pb1 0.000 0.000 0.500
```

## Properties
The calculation puts the volume at 186.2 Å³/cell. The value obtained for the mass density is 6.43 g/cm3. For the magnetization, the calculation gives 0.000 μB/atom. As for the formation energy: -189 meV/atom. For the total energy, the calculation gives -31.1 eV per cell.



Ca2ZrNbZn: relaxed, GGA-PBEsol.

```
data_Ca2ZrNbZn
_chemical_formula_sum 'Ca2 Zr1 Nb1 Zn1'
_symmetry_space_group_name_H-M 'P 4/m m m'
_symmetry_Int_Tables_number 123
_symmetry_space_group_name_Hall '-P 4 2'
_cell_length_a 5.146
_cell_length_b 5.146
_cell_length_c 5.214
_cell_angle_alpha 90.00
_cell_angle_beta 90.00
_cell_angle_gamma 90.00
loop_
_atom_site_label
_atom_site_fract_x
_atom_site_fract_y
_atom_site_fract_z
Ca1 0.000 0.500 0.000
Zr1 0.000 0.000 0.500
Nb1 0.500 0.500 0.500
Zn1 0.000 0.000 0.000
```

## Properties
The calculation puts the volume at 138.1 Å³/cell. The value obtained for the mass density is 3.96 g/cm3. For the magnetization, the calculation gives 0.394 μB/atom. As for the formation energy: 1007 meV/atom. For the total energy, the calculation gives -20.7 eV per cell.



CdRe2Te: relaxed, GGA-PBEsol.

```
data_CdRe2Te
_chemical_formula_sum 'Cd4 Re8 Te4'
_symmetry_space_group_name_H-M 'F -4 3 m'
_symmetry_Int_Tables_number 216
_symmetry_space_group_name_Hall 'F -4 2 3'
_cell_length_a 6.543
_cell_length_b 6.543
_cell_length_c 6.543
_cell_angle_alpha 90.00
_cell_angle_beta 90.00
_cell_angle_gamma 90.00
loop_
_atom_site_label
_atom_site_fract_x
_atom_site_fract_y
_atom_site_fract_z
Cd1 0.000 0.000 0.000
Re1 0.000 0.000 0.500
Re2 0.250 0.250 0.750
Te1 0.250 0.250 0.250
```

## Properties
The calculation puts the volume at 280.1 Å³/cell. The value obtained for the mass density is 14.52 g/cm3. For the magnetization, the calculation gives 0.000 μB/atom. For the total energy, the calculation gives -109.9 eV per cell. The distance to the lowest polymorph of the same formula comes out at 0.3563 eV per atom. The uncorrected formation energy is 378 kJ/mol of formula units.